Run P
Computed, not measured: crystalline Si3IrN at its relaxed geometry at the PBE-GGA level of DFT.

Summary:
- Spin magnetization: 0.00 μB/atom
- N(E_F): 2.25 states/eV per cell

abc: 3.9224 3.9224 3.9224
angles: 90.00 90.00 90.00
Positions (direct):
Si1 0.0000 0.5000 0.0000
Si2 0.0000 0.0000 0.5000
Si3 0.5000 0.0000 0.0000
Ir1 0.5000 0.5000 0.5000
N1 0.0000 0.0000 0.0000

Run Q
Computed, not measured: crystalline Si3IrN at its relaxed geometry at the PBE-GGA level of DFT.

Summary:
- Spin magnetization: 0.00 μB/atom
- N(E_F): 1.53 states/eV per cell

abc: 4.5485 4.5485 4.5485
angles: 90.00 90.00 90.00
Positions (direct):
Si1 0.0000 0.5000 0.0000
Si2 0.0000 0.0000 0.5000
Si3 0.5000 0.0000 0.0000
Ir1 0.0000 0.0000 0.0000
N1 0.5000 0.5000 0.5000

Of them, run Q has the lowest stability.

Run P
Computed, not measured: crystalline SiTeIrN2 at its relaxed geometry at the PBE-GGA level of DFT.

Summary:
- Spin magnetization: 0.00 μB/atom
- N(E_F): 2.80 states/eV per cell

abc: 3.5424 3.5424 8.6005
angles: 90.00 90.00 90.00
Positions (direct):
Si1 0.0000 0.0000 0.0000
Ir1 0.5000 0.5000 0.5000
Te1 0.0000 0.0000 0.5000
N1 0.0000 0.5000 0.0000
N2 0.5000 0.0000 0.0000

Run Q
Computed, not measured: crystalline SiTeIrN2 at its relaxed geometry at the PBE-GGA level of DFT.

Summary:
- Spin magnetization: 0.06 μB/atom
- N(E_F): 3.87 states/eV per cell

abc: 3.7711 3.7711 8.1374
angles: 90.00 90.00 90.00
Positions (direct):
Si1 0.5000 0.5000 0.5000
Ir1 0.0000 0.0000 0.0000
Te1 0.0000 0.0000 0.5000
N1 0.0000 0.5000 0.0000
N2 0.5000 0.0000 0.0000

Of them, run Q has the lowest stability.

Run P
Computed, not measured: crystalline SnIr2N at its relaxed geometry at the PBE-GGA level of DFT.

Summary:
- Spin magnetization: 0.00 μB/atom
- N(E_F): 1.64 states/eV per cell

abc: 5.1752 5.1752 6.4673
angles: 66.42 66.42 90.00
Positions (direct):
Ir1 0.5076 0.1250 0.2500
Ir2 0.2424 0.6250 0.2500
Ir3 0.3750 0.4924 0.7500
Ir4 0.8750 0.7576 0.7500
Sn1 0.0000 0.0000 0.0000
Sn2 0.7500 0.2500 0.5000
N1 0.5000 0.5000 0.0000
N2 0.2500 0.7500 0.5000

Run Q
Computed, not measured: crystalline SnIr2N at its relaxed geometry at the PBE-GGA level of DFT.

Summary:
- Spin magnetization: 0.18 μB/atom
- N(E_F): 4.47 states/eV per cell

abc: 4.3628 4.3628 4.3628
angles: 60.00 60.00 60.00
Positions (direct):
Ir1 0.2500 0.2500 0.2500
Ir2 0.7500 0.7500 0.7500
Sn1 0.5000 0.5000 0.5000
N1 0.0000 0.0000 0.0000

Of them, run Q has the lowest stability.

Run P
Computed, not measured: crystalline SnIr3N at its relaxed geometry at the PBE-GGA level of DFT.

Summary:
- Spin magnetization: 1.06 μB/atom
- N(E_F): 6.73 states/eV per cell

abc: 4.9493 4.9493 4.9493
angles: 90.00 90.00 90.00
Positions (direct):
Ir1 0.0000 0.5000 0.0000
Ir2 0.0000 0.0000 0.5000
Ir3 0.5000 0.0000 0.0000
Sn1 0.0000 0.0000 0.0000
N1 0.5000 0.5000 0.5000

Run Q
Computed, not measured: crystalline SnIr3N at its relaxed geometry at the PBE-GGA level of DFT.

Summary:
- Spin magnetization: 0.00 μB/atom
- N(E_F): 4.22 states/eV per cell

abc: 4.1890 4.1890 4.1890
angles: 90.00 90.00 90.00
Positions (direct):
Ir1 0.0000 0.5000 0.0000
Ir2 0.0000 0.0000 0.5000
Ir3 0.5000 0.0000 0.0000
Sn1 0.5000 0.5000 0.5000
N1 0.0000 0.0000 0.0000

Of them, run P has the lowest stability.

Run P
Computed, not measured: crystalline SnTe2IrN at its relaxed geometry at the PBE-GGA level of DFT.

Summary:
- Spin magnetization: 0.13 μB/atom
- N(E_F): 4.08 states/eV per cell

abc: 5.6679 5.6679 3.7878
angles: 90.00 90.00 90.00
Positions (direct):
Ir1 0.5000 0.5000 0.5000
Te1 0.0000 0.5000 0.0000
Te2 0.5000 0.0000 0.0000
Sn1 0.0000 0.0000 0.0000
N1 0.0000 0.0000 0.5000

Run Q
Computed, not measured: crystalline SnTe2IrN at its relaxed geometry at the PBE-GGA level of DFT.

Summary:
- Spin magnetization: 0.00 μB/atom
- N(E_F): 2.73 states/eV per cell

abc: 5.6324 5.6324 3.6968
angles: 90.00 90.00 90.00
Positions (direct):
Ir1 0.0000 0.0000 0.0000
Te1 0.0000 0.5000 0.0000
Te2 0.5000 0.0000 0.0000
Sn1 0.5000 0.5000 0.5000
N1 0.0000 0.0000 0.5000

Of them, run P has the lowest stability.

Run P
Computed, not measured: crystalline SnTeIrN2 at its relaxed geometry at the PBE-GGA level of DFT.

Summary:
- Spin magnetization: 0.00 μB/atom
- N(E_F): 5.91 states/eV per cell

abc: 3.9010 3.9010 8.3681
angles: 90.00 90.00 90.00
Positions (direct):
Ir1 0.5000 0.5000 0.5000
Te1 0.0000 0.0000 0.5000
Sn1 0.0000 0.0000 0.0000
N1 0.0000 0.5000 0.0000
N2 0.5000 0.0000 0.0000

Run Q
Computed, not measured: crystalline SnTeIrN2 at its relaxed geometry at the PBE-GGA level of DFT.

Summary:
- Spin magnetization: 0.00 μB/atom
- N(E_F): 2.47 states/eV per cell

abc: 4.0096 4.0096 5.6794
angles: 90.00 90.00 90.00
Positions (direct):
Ir1 0.0000 0.0000 0.0000
Te1 0.0000 0.0000 0.5000
Sn1 0.5000 0.5000 0.5000
N1 0.0000 0.5000 0.0000
N2 0.5000 0.0000 0.0000

Of them, run P has the lowest stability.

Run P
Computed, not measured: crystalline SrTe2IrN at its relaxed geometry at the PBE-GGA level of DFT.

Summary:
- Spin magnetization: 0.12 μB/atom
- N(E_F): 8.05 states/eV per cell

abc: 5.9949 5.9949 4.2212
angles: 90.00 90.00 90.00
Positions (direct):
Sr1 0.0000 0.0000 0.0000
Ir1 0.5000 0.5000 0.5000
Te1 0.0000 0.5000 0.0000
Te2 0.5000 0.0000 0.0000
N1 0.0000 0.0000 0.5000

Run Q
Computed, not measured: crystalline SrTe2IrN at its relaxed geometry at the PBE-GGA level of DFT.

Summary:
- Spin magnetization: 0.00 μB/atom
- N(E_F): 3.06 states/eV per cell

abc: 5.7421 5.7421 3.7380
angles: 90.00 90.00 90.00
Positions (direct):
Sr1 0.5000 0.5000 0.5000
Ir1 0.0000 0.0000 0.0000
Te1 0.0000 0.5000 0.0000
Te2 0.5000 0.0000 0.0000
N1 0.0000 0.0000 0.5000

Of them, run P has the lowest stability.

Run P
Computed, not measured: crystalline TaIrN2 at its relaxed geometry at the PBE-GGA level of DFT.

Summary:
- Spin magnetization: 0.00 μB/atom
- N(E_F): 4.75 states/eV per cell

abc: 4.2029 4.2029 6.4183
angles: 70.89 70.89 90.00
Positions (direct):
N1 0.6166 0.1250 0.2500
N2 0.1334 0.6250 0.2500
N3 0.3750 0.3834 0.7500
N4 0.8750 0.8666 0.7500
Ir1 0.0000 0.0000 0.0000
Ir2 0.7500 0.2500 0.5000
Ta1 0.5000 0.5000 0.0000
Ta2 0.2500 0.7500 0.5000

Run Q
Computed, not measured: crystalline TaIrN2 at its relaxed geometry at the PBE-GGA level of DFT.

Summary:
- Spin magnetization: 0.00 μB/atom
- N(E_F): 2.73 states/eV per cell

abc: 6.5488 6.5488 6.5488
angles: 26.79 26.79 26.79
Positions (direct):
N1 0.8940 0.8940 0.8940
N2 0.1060 0.1060 0.1060
Ir1 0.0000 0.0000 0.0000
Ta1 0.5000 0.5000 0.5000

Of them, run P has the lowest stability.

Run P
Computed, not measured: crystalline TaTe2IrN at its relaxed geometry at the PBE-GGA level of DFT.

Summary:
- Spin magnetization: 0.00 μB/atom
- N(E_F): 4.40 states/eV per cell

abc: 5.4400 5.4400 3.8004
angles: 90.00 90.00 90.00
Positions (direct):
N1 0.0000 0.0000 0.5000
Ir1 0.5000 0.5000 0.5000
Te1 0.0000 0.5000 0.0000
Te2 0.5000 0.0000 0.0000
Ta1 0.0000 0.0000 0.0000

Run Q
Computed, not measured: crystalline TaTe2IrN at its relaxed geometry at the PBE-GGA level of DFT.

Summary:
- Spin magnetization: 0.35 μB/atom
- N(E_F): 3.72 states/eV per cell

abc: 5.4232 5.4232 3.6406
angles: 90.00 90.00 90.00
Positions (direct):
N1 0.0000 0.0000 0.5000
Ir1 0.0000 0.0000 0.0000
Te1 0.0000 0.5000 0.0000
Te2 0.5000 0.0000 0.0000
Ta1 0.5000 0.5000 0.5000

Of them, run P has the lowest stability.

Run P
Computed, not measured: crystalline TaTeIrN2 at its relaxed geometry at the PBE-GGA level of DFT.

Summary:
- Spin magnetization: 0.35 μB/atom
- N(E_F): 4.42 states/eV per cell

abc: 3.9506 3.9506 6.0024
angles: 90.00 90.00 90.00
Positions (direct):
N1 0.0000 0.5000 0.0000
N2 0.5000 0.0000 0.0000
Ir1 0.5000 0.5000 0.5000
Te1 0.0000 0.0000 0.5000
Ta1 0.0000 0.0000 0.0000

Run Q
Computed, not measured: crystalline TaTeIrN2 at its relaxed geometry at the PBE-GGA level of DFT.

Summary:
- Spin magnetization: 0.49 μB/atom
- N(E_F): 3.24 states/eV per cell

abc: 3.8020 3.8020 7.8027
angles: 90.00 90.00 90.00
Positions (direct):
N1 0.0000 0.5000 0.0000
N2 0.5000 0.0000 0.0000
Ir1 0.0000 0.0000 0.0000
Te1 0.0000 0.0000 0.5000
Ta1 0.5000 0.5000 0.5000

Of them, run Q has the lowest stability.

Run P
Computed, not measured: crystalline TcTeIrN2 at its relaxed geometry at the PBE-GGA level of DFT.

Summary:
- Spin magnetization: 0.54 μB/atom
- N(E_F): 4.11 states/eV per cell

abc: 3.7667 3.7667 6.8285
angles: 90.00 90.00 90.00
Positions (direct):
Ir1 0.0000 0.0000 0.0000
Te1 0.0000 0.0000 0.5000
Tc1 0.5000 0.5000 0.5000
N1 0.0000 0.5000 0.0000
N2 0.5000 0.0000 0.0000

Run Q
Computed, not measured: crystalline TcTeIrN2 at its relaxed geometry at the PBE-GGA level of DFT.

Summary:
- Spin magnetization: 0.16 μB/atom
- N(E_F): 3.41 states/eV per cell

abc: 3.8102 3.8102 5.9027
angles: 90.00 90.00 90.00
Positions (direct):
Ir1 0.5000 0.5000 0.5000
Te1 0.0000 0.0000 0.5000
Tc1 0.0000 0.0000 0.0000
N1 0.0000 0.5000 0.0000
N2 0.5000 0.0000 0.0000

Of them, run P has the lowest stability.

Run P
Computed, not measured: crystalline TlTe2IrN at its relaxed geometry at the PBE-GGA level of DFT.

Summary:
- Spin magnetization: 0.00 μB/atom
- N(E_F): 3.97 states/eV per cell

abc: 5.7565 5.7565 3.6743
angles: 90.00 90.00 90.00
Positions (direct):
Tl1 0.5000 0.5000 0.5000
Ir1 0.0000 0.0000 0.0000
Te1 0.0000 0.5000 0.0000
Te2 0.5000 0.0000 0.0000
N1 0.0000 0.0000 0.5000

Run Q
Computed, not measured: crystalline TlTe2IrN at its relaxed geometry at the PBE-GGA level of DFT.

Summary:
- Spin magnetization: 0.33 μB/atom
- N(E_F): 5.37 states/eV per cell

abc: 5.7138 5.7138 3.9882
angles: 90.00 90.00 90.00
Positions (direct):
Tl1 0.0000 0.0000 0.0000
Ir1 0.5000 0.5000 0.5000
Te1 0.0000 0.5000 0.0000
Te2 0.5000 0.0000 0.0000
N1 0.0000 0.0000 0.5000

Of them, run Q has the lowest stability.